Here is a relaxed La7ZnBr12 crystal from the Alexandria database. Energies are from PBE.

extended XYZ file:
```
20
Lattice="7.883 4.551 3.395 -7.883 4.551 3.395 0.000 -9.103 3.395" Properties=species:S:1:pos:R:3 pbc="T T T"
La 0.000 0.000 0.000
La -1.673 -1.711 3.364
La -0.645 2.305 3.364
La 2.319 -0.593 3.364
La -2.319 0.593 6.821
La 0.645 -2.305 6.821
La 1.673 1.711 6.821
Zn 0.000 0.000 5.092
Br -2.530 0.651 1.569
Br 0.701 -2.517 1.569
Br -4.142 -1.109 5.062
Br -1.111 -4.142 5.123
Br 1.829 1.865 1.569
Br -3.031 3.033 5.123
Br 3.031 -3.033 5.062
Br -1.829 -1.865 8.616
Br 1.111 4.142 5.062
Br 4.142 1.109 5.123
Br -0.701 2.517 8.616
Br 2.530 -0.651 8.616
```

- Density: 4.54 g cm⁻³
- E_form (uncorrected): -1.636 eV per atom
- E: -4.428 eV/atom

Here is a relaxed PaGeRh4 crystal from the Alexandria database. Energies are from PBE.

extended XYZ file:
```
6
Lattice="4.162 0.000 0.000 0.000 3.834 0.000 -0.017 0.000 6.764" Properties=species:S:1:pos:R:3 pbc="T T T"
Pa 0.000 0.000 0.000
Ge 2.072 1.917 3.382
Rh -0.007 1.917 4.865
Rh 2.073 0.000 1.808
Rh 2.072 0.000 4.956
Rh 4.152 1.917 1.899
```

- Density: 11.01 g cm⁻³
- E: -7.827 eV/atom

Here is a relaxed BaTl2Hg crystal from the Alexandria database. Energies are from PBE.

extended XYZ file:
```
4
Lattice="0.000 4.010 4.010 4.010 0.000 4.010 4.010 4.010 0.000" Properties=species:S:1:pos:R:3 pbc="T T T"
Ba 0.000 0.000 0.000
Tl 2.005 2.005 2.005
Tl 6.015 6.015 6.015
Hg 4.010 4.010 4.010
```

- Density: 9.61 g cm⁻³
- E: -2.010 eV/atom
- Excess energy over the best structure of this formula in the dataset: 62 meV per atom

Here is a relaxed NbHg2Se crystal from the Alexandria database. Energies are from PBE.

extended XYZ file:
```
8
Lattice="-4.775 4.775 2.464 4.775 -4.775 2.464 4.775 4.775 -2.464" Properties=species:S:1:pos:R:3 pbc="T T T"
Nb 0.000 0.000 0.000
Nb 0.000 4.775 1.232
Hg 7.163 1.416 -0.616
Hg 1.416 2.388 0.616
Hg -2.388 3.359 1.848
Hg 3.359 2.388 3.079
Se 4.775 0.000 1.232
Se 0.000 0.000 2.464
```

- Density: 8.47 g cm⁻³
- E_form (uncorrected): 0.261 eV per atom
- E: -3.279 eV/atom

Here is a relaxed TcNi3As crystal from the Alexandria database. Energies are from PBE.

extended XYZ file:
```
5
Lattice="4.463 0.000 0.000 0.000 4.463 0.000 0.000 0.000 4.463" Properties=species:S:1:pos:R:3 pbc="T T T"
Tc 0.000 0.000 0.000
Ni 0.000 0.000 2.232
Ni 0.000 2.232 0.000
Ni 2.232 0.000 0.000
As 2.232 2.232 2.232
```

- Density: 6.52 g cm⁻³
- E: -5.140 eV/atom
- Excess energy over the best structure of this formula in the dataset: 542 meV per atom

Here is a relaxed AcErMgTl crystal from the Alexandria database. Energies are from PBE.

extended XYZ file:
```
4
Lattice="0.000 3.955 3.955 3.955 0.000 3.955 3.955 3.955 0.000" Properties=species:S:1:pos:R:3 pbc="T T T"
Ac 0.000 0.000 0.000
Er 3.955 3.955 3.955
Mg 5.933 5.933 5.933
Tl 1.978 1.978 1.978
```

- Density: 8.36 g cm⁻³
- E: -3.340 eV/atom

Here is a relaxed BaHoZn crystal from the Alexandria database. Energies are from PBE.

extended XYZ file:
```
6
Lattice="4.592 -1.963 0.000 4.592 1.963 0.000 -3.380 0.000 12.689" Properties=species:S:1:pos:R:3 pbc="T T T"
Ba -0.460 0.000 4.385
Ba 6.263 0.000 8.304
Ho 3.200 0.000 1.065
Ho 2.603 0.000 11.624
Zn -0.122 0.000 10.531
Zn 5.926 0.000 2.158
```

- Density: 5.34 g cm⁻³
- E: -2.536 eV/atom
- Excess energy over the best structure of this formula in the dataset: 130 meV per atom

Here is a relaxed MgCdO2 crystal from the Alexandria database. Energies are from PBE.

extended XYZ file:
```
8
Lattice="-2.461 2.461 4.766 2.461 -2.461 4.766 2.461 2.461 -4.766" Properties=species:S:1:pos:R:3 pbc="T T T"
Mg 0.000 0.000 0.000
Mg 0.000 2.461 2.383
Cd 2.461 0.000 2.383
Cd 0.000 0.000 4.766
O 3.692 1.024 -1.192
O 1.024 1.231 1.192
O -1.231 1.437 3.575
O 1.437 1.231 5.958
```

- Density: 4.85 g cm⁻³
- E_form (uncorrected): -1.784 eV per atom
- E: -4.890 eV/atom
- Excess energy over the best structure of this formula in the dataset: 15 meV per atom

Here is a relaxed AlAuCl2F crystal from the Alexandria database. Energies are from PBE.

extended XYZ file:
```
5
Lattice="5.448 0.000 0.000 0.000 5.448 0.000 0.000 0.000 3.986" Properties=species:S:1:pos:R:3 pbc="T T T"
Al 0.000 0.000 0.000
Au 2.724 2.724 0.000
Cl 0.000 2.724 1.993
Cl 2.724 0.000 1.993
F 2.724 2.724 1.993
```

- Density: 4.41 g cm⁻³
- E_form (uncorrected): 0.010 eV per atom
- E: -2.507 eV/atom

Here is a relaxed Tb2PmTmSe6 crystal from the Alexandria database. Energies are from PBE.

extended XYZ file:
```
10
Lattice="3.628 2.094 6.504 -3.628 2.094 6.504 0.000 -4.189 6.504" Properties=species:S:1:pos:R:3 pbc="T T T"
Tb 0.000 0.000 0.000
Tb 0.000 0.000 9.700
Pm 0.000 0.000 3.866
Tm 0.000 0.000 13.541
Se -1.149 -2.266 8.381
Se -2.166 -0.055 11.659
Se -1.388 2.128 8.381
Se 1.131 -1.848 11.659
Se 2.537 0.138 8.381
Se 1.035 1.903 11.659
```

- Density: 6.19 g cm⁻³
- E_form (uncorrected): -1.846 eV per atom
- E: -5.785 eV/atom

Here is a relaxed Li2BeRe crystal from the Alexandria database. Energies are from PBE.

extended XYZ file:
```
4
Lattice="2.472 0.000 0.000 0.000 4.237 0.000 -0.188 0.000 4.893" Properties=species:S:1:pos:R:3 pbc="T T T"
Li 0.000 0.000 0.000
Li 0.887 2.118 4.088
Be 1.005 0.000 2.220
Re 2.137 2.118 1.716
```

- Density: 6.78 g cm⁻³
- E: -4.769 eV/atom

Here is a relaxed Na2PuCdO4 crystal from the Alexandria database. Energies are from PBE.

extended XYZ file:
```
8
Lattice="5.805 0.000 0.000 0.000 3.455 0.000 -1.956 0.000 5.611" Properties=species:S:1:pos:R:3 pbc="T T T"
Na 0.000 0.000 0.000
Na 2.903 1.728 0.000
Pu -0.978 1.728 2.805
Cd 1.925 0.000 2.805
O -0.140 0.000 4.051
O 0.848 1.728 1.583
O 3.002 1.728 4.028
O 3.990 0.000 1.560
```

- Density: 6.88 g cm⁻³
- E_form (uncorrected): -1.980 eV per atom
- E: -6.695 eV/atom

Here is a relaxed MoIr2 crystal from the Alexandria database. Energies are from PBE.

extended XYZ file:
```
6
Lattice="-3.100 3.100 2.480 3.100 -3.100 2.480 3.100 3.100 -2.480" Properties=species:S:1:pos:R:3 pbc="T T T"
Mo 0.000 0.000 1.240
Mo 0.000 0.000 3.720
Ir 3.993 0.893 0.000
Ir 0.893 2.206 0.000
Ir 2.206 0.893 2.480
Ir -0.893 2.206 2.480
```

- Density: 16.74 g cm⁻³
- E: -9.265 eV/atom

Here is a relaxed Ho4TmIn4 crystal from the Alexandria database. Energies are from PBE.

extended XYZ file:
```
18
Lattice="7.118 0.000 0.000 0.000 7.118 0.000 0.000 0.000 10.612" Properties=species:S:1:pos:R:3 pbc="T T T"
Ho 0.167 1.780 1.796
Ho 1.780 0.167 7.102
Ho 1.780 3.392 7.102
Ho 3.392 1.780 1.796
Ho 3.727 5.339 8.815
Ho 5.339 3.727 3.510
Ho 5.339 6.951 3.510
Ho 6.951 5.339 8.815
Tm 1.780 5.339 2.653
Tm 5.339 1.780 7.959
In 0.181 1.780 4.974
In 1.780 0.181 10.280
In 1.780 3.378 10.280
In 3.378 1.780 4.974
In 3.740 5.339 5.637
In 5.339 3.740 0.331
In 5.339 6.937 0.331
In 6.937 5.339 5.637
```

- Density: 7.95 g cm⁻³
- E: -3.847 eV/atom

Here is a relaxed BiAs3H crystal from the Alexandria database. Energies are from PBE.

extended XYZ file:
```
5
Lattice="4.512 0.000 0.000 0.000 4.512 0.000 0.000 0.000 4.512" Properties=species:S:1:pos:R:3 pbc="T T T"
Bi 0.000 0.000 0.000
As 0.000 2.256 2.256
As 2.256 0.000 2.256
As 2.256 2.256 0.000
H 2.256 2.256 2.256
```

- Density: 7.86 g cm⁻³
- E: -3.650 eV/atom

Here is a relaxed POs2Se crystal from the Alexandria database. Energies are from PBE.

extended XYZ file:
```
4
Lattice="2.916 0.000 0.000 0.000 2.916 0.000 0.000 0.000 7.864" Properties=species:S:1:pos:R:3 pbc="T T T"
P 0.000 0.000 0.000
Os 0.000 0.000 4.529
Os 1.458 1.458 6.552
Se 1.458 1.458 3.053
```

- Density: 12.18 g cm⁻³
- E_form (uncorrected): 0.196 eV per atom
- E: -7.642 eV/atom
- Excess energy over the best structure of this formula in the dataset: 0 meV per atom

Here is a relaxed LiWBr crystal from the Alexandria database. Energies are from PBE.

extended XYZ file:
```
3
Lattice="-1.498 1.498 6.368 1.498 -1.498 6.368 1.498 1.498 -6.368" Properties=species:S:1:pos:R:3 pbc="T T T"
Li 0.000 0.000 0.000
W 0.000 0.000 4.381
Br 0.000 0.000 9.051
```

- Density: 7.86 g cm⁻³
- E_form (uncorrected): 0.677 eV per atom
- E: -4.837 eV/atom
- Excess energy over the best structure of this formula in the dataset: 182 meV per atom

Here is a relaxed YPd2Pb2 crystal from the Alexandria database. Energies are from PBE.

extended XYZ file:
```
10
Lattice="7.377 0.000 0.000 0.000 7.377 0.000 0.000 0.000 4.278" Properties=species:S:1:pos:R:3 pbc="T T T"
Y 0.000 0.000 0.000
Y 3.689 3.689 0.000
Pd 0.966 2.722 0.000
Pd 2.722 6.411 0.000
Pd 4.655 0.966 0.000
Pd 6.411 4.655 0.000
Pb 1.286 4.974 2.139
Pb 2.403 1.286 2.139
Pb 4.974 6.092 2.139
Pb 6.092 2.403 2.139
```

- Density: 10.21 g cm⁻³
- E: -5.248 eV/atom
- Excess energy over the best structure of this formula in the dataset: 147 meV per atom

Here is a relaxed CdTeAsI2 crystal from the Alexandria database. Energies are from PBE.

extended XYZ file:
```
5
Lattice="5.758 0.000 0.000 0.000 5.758 0.000 0.000 0.000 5.932" Properties=species:S:1:pos:R:3 pbc="T T T"
Cd 0.000 0.000 0.000
Te 0.000 0.000 2.966
As 2.879 2.879 2.966
I 0.000 2.879 0.000
I 2.879 0.000 0.000
```

- Density: 4.80 g cm⁻³
- E_form (uncorrected): 0.543 eV per atom
- E: -1.818 eV/atom
- Excess energy over the best structure of this formula in the dataset: 339 meV per atom

Here is a relaxed TbThIrAu crystal from the Alexandria database. Energies are from PBE.

extended XYZ file:
```
4
Lattice="0.000 3.598 3.598 3.598 0.000 3.598 3.598 3.598 0.000" Properties=species:S:1:pos:R:3 pbc="T T T"
Tb 0.000 0.000 0.000
Th 3.598 3.598 3.598
Ir 1.799 1.799 1.799
Au 5.397 5.397 5.397
```

- Density: 13.91 g cm⁻³
- E: -6.775 eV/atom
- Excess energy over the best structure of this formula in the dataset: 188 meV per atom

Here is a relaxed K3AgPd crystal from the Alexandria database. Energies are from PBE.

extended XYZ file:
```
5
Lattice="6.142 0.000 0.000 0.000 6.142 0.000 0.000 0.000 6.142" Properties=species:S:1:pos:R:3 pbc="T T T"
K 0.000 0.000 3.071
K 0.000 3.071 0.000
K 3.071 0.000 0.000
Ag 3.071 3.071 3.071
Pd 0.000 0.000 0.000
```

- Density: 2.38 g cm⁻³
- E: -2.112 eV/atom
- Excess energy over the best structure of this formula in the dataset: 0 meV per atom

Here is a relaxed LiAcHoIn crystal from the Alexandria database. Energies are from PBE.

extended XYZ file:
```
4
Lattice="0.000 3.909 3.909 3.909 0.000 3.909 3.909 3.909 0.000" Properties=species:S:1:pos:R:3 pbc="T T T"
Li 0.000 0.000 0.000
Ac 1.955 1.955 1.955
Ho 5.864 5.864 5.864
In 3.909 3.909 3.909
```

- Density: 7.14 g cm⁻³
- E: -3.534 eV/atom

Here is a relaxed LiCaZr4 crystal from the Alexandria database. Energies are from PBE.

extended XYZ file:
```
6
Lattice="0.000 4.273 4.273 4.273 0.000 4.273 4.273 4.273 0.000" Properties=species:S:1:pos:R:3 pbc="T T T"
Li 0.000 0.000 0.000
Ca 2.136 2.136 2.136
Zr 5.334 3.211 3.211
Zr 3.211 5.334 3.211
Zr 3.211 3.211 5.334
Zr 5.334 5.334 5.334
```

- Density: 4.39 g cm⁻³
- E: -5.911 eV/atom

Here is a relaxed BeAs3F crystal from the Alexandria database. Energies are from PBE.

extended XYZ file:
```
5
Lattice="4.413 0.000 0.000 0.000 4.413 0.000 0.000 0.000 4.413" Properties=species:S:1:pos:R:3 pbc="T T T"
Be 0.000 0.000 0.000
As 0.000 0.000 2.206
As 0.000 2.206 0.000
As 2.206 0.000 0.000
F 2.206 2.206 2.206
```

- Density: 4.89 g cm⁻³
- E_form (uncorrected): 0.201 eV per atom
- E: -3.708 eV/atom
- Excess energy over the best structure of this formula in the dataset: 0 meV per atom

Here is a relaxed K2AgH crystal from the Alexandria database. Energies are from PBE.

extended XYZ file:
```
4
Lattice="2.143 1.237 7.793 -2.143 1.237 7.793 0.000 -2.475 7.793" Properties=species:S:1:pos:R:3 pbc="T T T"
K 0.000 0.000 5.473
K 0.000 0.000 17.905
Ag 0.000 0.000 0.000
H 0.000 0.000 11.689
```

- Density: 2.51 g cm⁻³
- E: -2.094 eV/atom
- Excess energy over the best structure of this formula in the dataset: 0 meV per atom